Here is crystalline AlNi8Pt6 at its relaxed geometry from Alexandria. Energies are from PBE.

Cell and atoms, written as POSCAR:
```
AlNi8Pt6
1.0
4.628 0.000 0.000
-2.253 6.573 0.000
-2.196 -1.446 6.465
Al Ni Pt
1 8 6
Direct
0.000 0.000 0.000
0.061 0.468 0.332
0.276 0.862 0.334
0.332 0.334 0.666
0.394 0.802 0.001
0.606 0.198 0.999
0.668 0.666 0.334
0.724 0.138 0.666
0.939 0.532 0.668
0.139 0.942 0.675
0.192 0.392 0.992
0.477 0.274 0.340
0.523 0.726 0.660
0.808 0.608 0.008
0.861 0.058 0.325
```

Theoretical density ... 14.1 Mg/m³
SG ... P-1 (2)
DFT formation energy ... -0.2103 eV per atom
Density of states at the Fermi level ... 21.8 states/eV/f.u.